1.
! EuNiSb2 | Alexandria via LeMat-Bulk | GGA-PBE | optimized geometry; values from VASP
! Formation energy from raw total energies (eV/atom): -0.138
! Symmetry: R-3m
! Spin magnetization (μB/atom): 1.94
! Volume (Å³/f.u.): 122
&SYSTEM
  ibrav = 0, nat = 4, ntyp = 3
/
ATOMIC_SPECIES
Eu 151.96 Eu.upf
Ni 58.69 Ni.upf
Sb 121.76 Sb.upf
CELL_PARAMETERS angstrom
1.998 1.154 8.792
-1.998 1.154 8.792
0.000 -2.307 8.792
ATOMIC_POSITIONS angstrom
Eu 0.000 0.000 0.000
Ni 0.000 0.000 13.187
Sb 0.000 0.000 3.261
Sb 0.000 0.000 23.114

***

2.
! PuSbRh | Alexandria via LeMat-Bulk | GGA-PBE | optimized geometry; values from VASP
! Formation energy from raw total energies (eV/atom): -0.559
! Symmetry: P2_1/m
! Spin magnetization (μB/atom): 1.99
! Volume (Å³/f.u.): 67
&SYSTEM
  ibrav = 0, nat = 6, ntyp = 3
/
ATOMIC_SPECIES
Pu 244.00 Pu.upf
Sb 121.76 Sb.upf
Rh 102.91 Rh.upf
CELL_PARAMETERS angstrom
4.303 0.000 0.000
0.000 4.302 0.000
-0.042 0.000 7.287
ATOMIC_POSITIONS angstrom
Pu 1.056 1.076 1.215
Pu 3.205 3.227 6.072
Sb 1.054 1.076 5.266
Sb 3.207 3.227 2.021
Rh 1.055 3.227 3.643
Rh 3.206 1.076 3.644

***

3.
! ErZr2 | Alexandria via LeMat-Bulk | GGA-PBE | optimized geometry; values from VASP
! Formation energy (eV/atom): 0.231
! Symmetry: Fd-3m
! Spin magnetization (μB/atom): 0.71
! Volume (Å³/f.u.): 80
&SYSTEM
  ibrav = 0, nat = 6, ntyp = 2
/
ATOMIC_SPECIES
Er 167.26 Er.upf
Zr 91.22 Zr.upf
CELL_PARAMETERS angstrom
0.000 4.300 4.300
4.300 0.000 4.300
4.300 4.300 0.000
ATOMIC_POSITIONS angstrom
Er 1.075 1.075 1.075
Er 7.525 7.525 7.525
Zr 4.300 2.150 2.150
Zr 2.150 4.300 2.150
Zr 2.150 2.150 4.300
Zr 4.300 4.300 4.300